{"formula": "Y4AgPb", "functional": "GGA-PBEsol", "state": "optimized geometry", "cell": [[6.1706, 0.0000, 0.0000], [3.0853, 5.3439, 0.0000], [3.0853, 1.7813, 5.0383]], "species": ["Y", "Y", "Y", "Y", "Ag", "Pb"], "fractional_positions": [[0.3745, 0.3745, 0.8766], [0.3745, 0.3745, 0.3745], [0.8766, 0.3745, 0.3745], [0.3745, 0.8766, 0.3745], [0.7500, 0.7500, 0.7500], [0.0000, 0.0000, 0.0000]], "ef_ev_per_atom": 0.29}

{"formula": "InIr2Cl", "functional": "GGA-PBEsol", "state": "optimized geometry", "cell": [[-0.2648, -0.0173, -2.7853], [-0.3556, -2.4898, 1.4545], [-9.3651, 1.8509, 0.8788]], "species": ["Ir", "Ir", "Cl", "In"], "fractional_positions": [[0.0000, 0.0000, 0.0230], [0.5000, 0.0000, 0.2520], [0.0000, 0.0000, 0.4597], [0.5000, 0.0000, 0.7653]], "polymorph_energy_ev_per_fu": 0.00, "formation_energy_uncorrected_ev_per_fu": 1.77}

{"formula": "LaP2Os", "functional": "GGA-PBEsol", "state": "optimized geometry", "cell": [[4.6557, 0.0000, 0.0000], [2.3279, 4.0320, 0.0000], [2.3279, 1.3440, 3.8014]], "species": ["Os", "La", "P", "P"], "fractional_positions": [[0.7500, 0.7500, 0.7500], [0.5000, 0.5000, 0.5000], [0.0000, 0.0000, 0.0000], [0.2500, 0.2500, 0.2500]], "polymorph_energy_ev_per_fu": 3.83, "ef_ev_per_atom": 0.31}

{"formula": "MgCuN2", "functional": "GGA-PBEsol", "state": "optimized geometry", "cell": [[-2.8086, -1.0157, -0.5653], [-0.7187, -1.0180, -2.7725], [0.4520, -6.0399, 0.4342]], "species": ["Cu", "N", "N", "Mg"], "fractional_positions": [[0.5000, 0.5000, 0.5000], [0.8859, 0.8859, 0.3423], [0.1141, 0.1141, 0.6577], [0.0000, 0.0000, 0.0000]], "formation_energy_uncorrected_ev_per_fu": 3.20}

{"formula": "FeSbOs", "functional": "GGA-PBEsol", "state": "optimized geometry", "cell": [[2.9108, 0.0000, 0.0000], [0.0000, 4.2298, 0.0000], [0.0000, -2.1149, 3.6631]], "species": ["Sb", "Os", "Fe"], "fractional_positions": [[0.2282, 0.6667, 0.3333], [0.6532, 0.3333, 0.6667], [0.1186, 0.0000, 0.0000]], "formation_energy_uncorrected_ev_per_fu": 1.69}

{"formula": "ZnSe2Cl", "functional": "GGA-PBEsol", "state": "optimized geometry", "cell": [[-4.2305, 0.2529, -0.1732], [0.0313, -2.0280, -3.7252], [1.3872, -7.7952, 6.6700]], "species": ["Se", "Se", "Se", "Se", "Zn", "Zn", "Cl", "Cl"], "fractional_positions": [[0.6250, 0.7359, 0.7500], [0.9859, 0.3750, 0.2500], [0.2641, 0.8750, 0.2500], [0.1250, 0.0141, 0.7500], [0.2500, 0.7500, 0.5000], [0.0000, 0.0000, 0.0000], [0.7500, 0.2500, 0.5000], [0.5000, 0.5000, 0.0000]], "polymorph_energy_ev_per_fu": 0.00, "formation_energy_uncorrected_ev_per_fu": -0.10}

{"formula": "YAgHg", "functional": "GGA-PBEsol", "state": "optimized geometry", "cell": [[4.7032, 0.0000, 0.0000], [2.3516, 4.0730, 0.0000], [2.3516, 1.3577, 3.8401]], "species": ["Y", "Hg", "Ag"], "fractional_positions": [[0.5000, 0.5000, 0.5000], [0.0000, 0.0000, 0.0000], [0.2500, 0.2500, 0.2500]], "ef_ev_per_atom": -0.24}

{"formula": "YP3Pb", "functional": "GGA-PBEsol", "state": "optimized geometry", "cell": [[5.0202, 0.0000, 0.0000], [0.0000, 5.0202, 0.0000], [0.0000, 0.0000, 5.0202]], "species": ["P", "P", "P", "Pb", "Y"], "fractional_positions": [[0.0000, 0.0000, 0.5000], [0.0000, 0.5000, 0.0000], [0.5000, 0.0000, 0.0000], [0.0000, 0.0000, 0.0000], [0.5000, 0.5000, 0.5000]], "ef_ev_per_atom": 0.68}

E per entry: -5.475 -5.717 -6.973 -4.977 -8.017 -2.846 -3.804 -4.958 eV per atom